First-principles (PBE-GGA) data for a geometry-optimized PuNpSbSe structure, as listed in Alexandria.

Values from the calculation:
**N(E_F)**: 3.160 states/eV/atom
**Crystal system**: cubic
**DFT total energy**: -9.42 eV/atom
**Size of the total moment**: 39.90 μB per cell
**Volume**: 394 Å³ per cell

```
data_PuNpSbSe
_chemical_formula_sum 'Pu4 Np4 Sb4 Se4'
_cell_length_a 7.331
_cell_length_b 7.331
_cell_length_c 7.331
_cell_angle_alpha 90.00
_cell_angle_beta 90.00
_cell_angle_gamma 90.00
_symmetry_space_group_name_H-M 'P 1'
_symmetry_Int_Tables_number 1
loop_
_symmetry_equiv_pos_as_xyz
'x,y,z'
loop_
_atom_site_label
_atom_site_type_symbol
_atom_site_fract_x
_atom_site_fract_y
_atom_site_fract_z
Pu1 Pu 0.000 0.000 0.000
Pu2 Pu 0.000 0.500 0.500
Pu3 Pu 0.500 0.000 0.500
Pu4 Pu 0.500 0.500 0.000
Np1 Np 0.000 0.000 0.500
Np2 Np 0.000 0.500 0.000
Np3 Np 0.500 0.000 0.000
Np4 Np 0.500 0.500 0.500
Sb1 Sb 0.250 0.250 0.250
Sb2 Sb 0.250 0.750 0.750
Sb3 Sb 0.750 0.250 0.750
Sb4 Sb 0.750 0.750 0.250
Se1 Se 0.250 0.250 0.750
Se2 Se 0.250 0.750 0.250
Se3 Se 0.750 0.250 0.250
Se4 Se 0.750 0.750 0.750
```

***

First-principles (PBE-GGA) data for a geometry-optimized PuNpSnSb structure, as listed in Alexandria.

Values from the calculation:
**N(E_F)**: 3.387 states/eV/atom
**Crystal system**: cubic
**DFT total energy**: -9.04 eV/atom
**Size of the total moment**: 41.59 μB per cell
**Volume**: 420 Å³ per cell

```
data_PuNpSnSb
_chemical_formula_sum 'Pu4 Np4 Sn4 Sb4'
_cell_length_a 7.491
_cell_length_b 7.491
_cell_length_c 7.491
_cell_angle_alpha 90.00
_cell_angle_beta 90.00
_cell_angle_gamma 90.00
_symmetry_space_group_name_H-M 'P 1'
_symmetry_Int_Tables_number 1
loop_
_symmetry_equiv_pos_as_xyz
'x,y,z'
loop_
_atom_site_label
_atom_site_type_symbol
_atom_site_fract_x
_atom_site_fract_y
_atom_site_fract_z
Pu1 Pu 0.000 0.000 0.000
Pu2 Pu 0.000 0.500 0.500
Pu3 Pu 0.500 0.000 0.500
Pu4 Pu 0.500 0.500 0.000
Np1 Np 0.000 0.000 0.500
Np2 Np 0.000 0.500 0.000
Np3 Np 0.500 0.000 0.000
Np4 Np 0.500 0.500 0.500
Sn1 Sn 0.250 0.250 0.750
Sn2 Sn 0.250 0.750 0.250
Sn3 Sn 0.750 0.250 0.250
Sn4 Sn 0.750 0.750 0.750
Sb1 Sb 0.250 0.250 0.250
Sb2 Sb 0.250 0.750 0.750
Sb3 Sb 0.750 0.250 0.750
Sb4 Sb 0.750 0.750 0.250
```

***

First-principles (PBE-GGA) data for a geometry-optimized TbPuNp2Sb4 structure, as listed in Alexandria.

Values from the calculation:
**N(E_F)**: 4.458 states/eV/atom
**Crystal system**: monoclinic
**DFT total energy**: -8.18 eV/atom
**Size of the total moment**: 5.36 μB per cell
**Volume**: 242 Å³ per cell

```
data_TbPuNp2Sb4
_chemical_formula_sum 'Tb1 Pu1 Np2 Sb4'
_cell_length_a 7.637
_cell_length_b 4.389
_cell_length_c 7.653
_cell_angle_alpha 90.00
_cell_angle_beta 109.17
_cell_angle_gamma 90.00
_symmetry_space_group_name_H-M 'P 1'
_symmetry_Int_Tables_number 1
loop_
_symmetry_equiv_pos_as_xyz
'x,y,z'
loop_
_atom_site_label
_atom_site_type_symbol
_atom_site_fract_x
_atom_site_fract_y
_atom_site_fract_z
Tb1 Tb 0.000 0.000 0.000
Pu1 Pu 0.000 0.500 0.500
Np1 Np 0.500 0.000 0.500
Np2 Np 0.500 0.500 0.000
Sb1 Sb 0.251 0.000 0.750
Sb2 Sb 0.251 0.500 0.250
Sb3 Sb 0.749 0.000 0.250
Sb4 Sb 0.749 0.500 0.750
```

***

First-principles (PBE-GGA) data for a geometry-optimized PuThNp2Sb4 structure, as listed in Alexandria.

Values from the calculation:
**N(E_F)**: 4.328 states/eV/atom
**Crystal system**: monoclinic
**DFT total energy**: -8.51 eV/atom
**Size of the total moment**: 13.58 μB per cell
**Volume**: 248 Å³ per cell

```
data_PuThNp2Sb4
_chemical_formula_sum 'Pu1 Th1 Np2 Sb4'
_cell_length_a 7.673
_cell_length_b 4.438
_cell_length_c 7.715
_cell_angle_alpha 90.00
_cell_angle_beta 109.42
_cell_angle_gamma 90.00
_symmetry_space_group_name_H-M 'P 1'
_symmetry_Int_Tables_number 1
loop_
_symmetry_equiv_pos_as_xyz
'x,y,z'
loop_
_atom_site_label
_atom_site_type_symbol
_atom_site_fract_x
_atom_site_fract_y
_atom_site_fract_z
Pu1 Pu 0.000 0.000 0.000
Th1 Th 0.500 0.500 0.000
Np1 Np 0.000 0.500 0.500
Np2 Np 0.500 0.000 0.500
Sb1 Sb 0.245 0.000 0.744
Sb2 Sb 0.249 0.500 0.254
Sb3 Sb 0.751 0.500 0.746
Sb4 Sb 0.755 0.000 0.256
```